# Ba7Ga5AgSe15, PBEsol geometry, DFT SCAN
data_Ba7Ga5AgSe15
_cell_length_a 9.9577
_cell_length_b 9.9577
_cell_length_c 18.6201
_cell_angle_alpha 90.00
_cell_angle_beta 90.00
_cell_angle_gamma 120.00
_space_group_name_H-M_alt 'P 3 1 c'
_space_group_IT_number 159
_space_group_name_Hall 'P 3 -2c'
loop_
_atom_site_label
_atom_site_fract_x
_atom_site_fract_y
_atom_site_fract_z
_atom_site_occupancy
Ba1 0.0000 0.0000 0.0000 1
Ba2 0.0258 0.6077 0.1144 1
Ba3 0.0779 0.3539 0.3050 1
Ga1 0.0000 0.0000 0.1928 1
Ga2 0.1089 0.6457 0.9164 1
Ga3 0.3333 0.6667 0.7435 1
Ag1 0.3333 0.6667 0.4657 1
Se1 0.0000 0.0000 0.3227 1
Se2 0.0093 0.2265 0.1395 1
Se3 0.1048 0.6690 0.7867 1
Se4 0.1162 0.4261 0.9653 1
Se5 0.1248 0.7489 0.4581 1
Se6 0.3333 0.6667 0.2134 1
Se7 0.3333 0.6667 0.6183 1
# Electronic total energy, eV for the cell shown: -1467.025
# E_form (uncorrected), eV per formula unit: -42.386
# Density of states at the Fermi level, states/eV per cell: 0.00
# Calculated volume, Å³/atom: 28.553

***

# TaCr3As, PBEsol geometry, DFT SCAN
data_TaCr3As
_cell_length_a 4.6404
_cell_length_b 4.6404
_cell_length_c 4.6404
_cell_angle_alpha 90.00
_cell_angle_beta 90.00
_cell_angle_gamma 90.00
_space_group_name_H-M_alt 'P m -3 m'
_space_group_IT_number 221
_space_group_name_Hall '-P 4 2 3'
loop_
_atom_site_label
_atom_site_fract_x
_atom_site_fract_y
_atom_site_fract_z
_atom_site_occupancy
Ta1 0.0000 0.0000 0.0000 1
Cr1 0.0000 0.0000 0.5000 1
As1 0.5000 0.5000 0.5000 1
# Electronic total energy, eV for the cell shown: -134.799
# ΔH_f (0 K), kJ per mole of atoms: 137.56
# Density of states at the Fermi level, states/eV per cell: 3.85
# Calculated volume, Å³/atom: 19.985

***

# TmFe2Si2, PBEsol geometry, DFT SCAN
data_TmFe2Si2
_cell_length_a 3.8830
_cell_length_b 3.8830
_cell_length_c 9.3691
_cell_angle_alpha 90.00
_cell_angle_beta 90.00
_cell_angle_gamma 90.00
_space_group_name_H-M_alt 'I 4/m m m'
_space_group_IT_number 139
_space_group_name_Hall '-I 4 2'
loop_
_atom_site_label
_atom_site_fract_x
_atom_site_fract_y
_atom_site_fract_z
_atom_site_occupancy
Tm1 0.0000 0.0000 0.0000 1
Fe1 0.0000 0.5000 0.2500 1
Si1 0.0000 0.0000 0.3680 1
# Electronic total energy, eV for the cell shown: -221.992
# E_form (uncorrected), eV per formula unit: -2.874
# Density of states at the Fermi level, states/eV per cell: 10.45
# Calculated volume, Å³/atom: 14.126

***

# LiYMo2O8, PBEsol geometry, DFT SCAN
data_LiYMo2O8
_cell_length_a 5.1030
_cell_length_b 5.1030
_cell_length_c 10.9565
_cell_angle_alpha 90.00
_cell_angle_beta 90.00
_cell_angle_gamma 90.00
_space_group_name_H-M_alt 'I -4'
_space_group_IT_number 82
_space_group_name_Hall 'I -4'
loop_
_atom_site_label
_atom_site_fract_x
_atom_site_fract_y
_atom_site_fract_z
_atom_site_occupancy
Li1 0.0000 0.0000 0.0000 1
Y1 0.0000 0.5000 0.7500 1
Mo1 0.0000 0.0000 0.5000 1
Mo2 0.0000 0.5000 0.2500 1
O1 0.1560 0.2443 0.5897 1
O2 0.1607 0.7481 0.1640 1
# Electronic total energy, eV for the cell shown: -362.906
# E_form (uncorrected), eV per formula unit: -31.600
# Energy relative to the lowest polymorph listed for this composition, meV per atom: 0
# Density of states at the Fermi level, states/eV per cell: 0.00
# Calculated volume, Å³/atom: 11.888

***

# TaSb2As, PBEsol geometry, DFT SCAN
data_TaSb2As
_cell_length_a 3.2771
_cell_length_b 3.2771
_cell_length_c 28.2677
_cell_angle_alpha 90.00
_cell_angle_beta 90.00
_cell_angle_gamma 120.00
_space_group_name_H-M_alt 'R 3 m'
_space_group_IT_number 160
_space_group_name_Hall 'R 3 -2"'
loop_
_atom_site_label
_atom_site_fract_x
_atom_site_fract_y
_atom_site_fract_z
_atom_site_occupancy
Ta1 0.0000 0.0000 0.0000 1
Sb1 0.0000 0.0000 0.5165 1
Sb2 0.0000 0.0000 0.7439 1
As1 0.0000 0.0000 0.2716 1
# Electronic total energy, eV for the cell shown: -483.057
# E_form (uncorrected), eV per formula unit: 0.276
# Density of states at the Fermi level, states/eV per cell: 5.59
# Calculated volume, Å³/atom: 21.909

***

# LaPdSe2, PBEsol geometry, DFT SCAN
data_LaPdSe2
_cell_length_a 3.7594
_cell_length_b 3.7594
_cell_length_c 25.3058
_cell_angle_alpha 90.00
_cell_angle_beta 90.00
_cell_angle_gamma 120.00
_space_group_name_H-M_alt 'R -3 m'
_space_group_IT_number 166
_space_group_name_Hall '-R 3 2"'
loop_
_atom_site_label
_atom_site_fract_x
_atom_site_fract_y
_atom_site_fract_z
_atom_site_occupancy
La1 0.0000 0.0000 0.0000 1
Pd1 0.0000 0.0000 0.5000 1
Se1 0.0000 0.0000 0.1149 1
# Electronic total energy, eV for the cell shown: -353.650
# E_form (uncorrected), eV per formula unit: -1.847
# Energy relative to the lowest polymorph listed for this composition, meV per atom: 656
# Density of states at the Fermi level, states/eV per cell: 9.70
# Calculated volume, Å³/atom: 25.811

***

# HoHO2, PBEsol geometry, DFT SCAN
data_HoHO2
_cell_length_a 10.6400
_cell_length_b 3.4761
_cell_length_c 4.9730
_cell_angle_alpha 90.00
_cell_angle_beta 90.00
_cell_angle_gamma 90.00
_space_group_name_H-M_alt 'P n m a'
_space_group_IT_number 62
_space_group_name_Hall '-P 2ac 2n'
loop_
_atom_site_label
_atom_site_fract_x
_atom_site_fract_y
_atom_site_fract_z
_atom_site_occupancy
Ho1 0.1428 0.2500 0.1090 1
H1 0.1049 0.7500 0.6381 1
O1 0.0710 0.7500 0.8304 1
O2 0.1861 0.7500 0.3623 1
# Electronic total energy, eV for the cell shown: -305.687
# Density of states at the Fermi level, states/eV per cell: 0.00
# Calculated volume, Å³/atom: 11.496

***

# SrMnIr2, PBEsol geometry, DFT SCAN
data_SrMnIr2
_cell_length_a 2.8115
_cell_length_b 3.7542
_cell_length_c 6.8982
_cell_angle_alpha 90.00
_cell_angle_beta 90.00
_cell_angle_gamma 90.00
_space_group_name_H-M_alt 'P m m 2'
_space_group_IT_number 25
_space_group_name_Hall 'P 2 -2'
loop_
_atom_site_label
_atom_site_fract_x
_atom_site_fract_y
_atom_site_fract_z
_atom_site_occupancy
Sr1 0.0000 0.0000 0.0000 1
Mn1 0.5000 0.5000 0.6514 1
Ir1 0.0000 0.0000 0.4995 1
Ir2 0.5000 0.5000 0.2962 1
# Electronic total energy, eV for the cell shown: -182.254
# Energy relative to the lowest polymorph listed for this composition, meV per atom: 0
# ΔH_f (0 K), kJ per mole of atoms: 11.45
# Density of states at the Fermi level, states/eV per cell: 3.34
# Calculated volume, Å³/atom: 18.203

***

# YMnIn, PBEsol geometry, DFT SCAN
data_YMnIn
_cell_length_a 4.6877
_cell_length_b 4.6877
_cell_length_c 3.4679
_cell_angle_alpha 90.00
_cell_angle_beta 90.00
_cell_angle_gamma 120.00
_space_group_name_H-M_alt 'P -6 m 2'
_space_group_IT_number 187
_space_group_name_Hall 'P -6 2'
loop_
_atom_site_label
_atom_site_fract_x
_atom_site_fract_y
_atom_site_fract_z
_atom_site_occupancy
Y1 0.0000 0.0000 0.0000 1
Mn1 0.6667 0.3333 0.5000 1
In1 0.3333 0.6667 0.5000 1
# Electronic total energy, eV for the cell shown: -80.831
# ΔH_f (0 K), kJ per mole of atoms: -43.29
# Density of states at the Fermi level, states/eV per cell: 1.14
# Calculated volume, Å³/atom: 21.998

***

# ZrMnW2, PBEsol geometry, DFT SCAN
data_ZrMnW2
_cell_length_a 6.2760
_cell_length_b 6.2760
_cell_length_c 6.2760
_cell_angle_alpha 90.00
_cell_angle_beta 90.00
_cell_angle_gamma 90.00
_space_group_name_H-M_alt 'F -4 3 m'
_space_group_IT_number 216
_space_group_name_Hall 'F -4 2 3'
loop_
_atom_site_label
_atom_site_fract_x
_atom_site_fract_y
_atom_site_fract_z
_atom_site_occupancy
Zr1 0.0000 0.0000 0.0000 1
Mn1 0.2500 0.2500 0.7500 1
W1 0.0000 0.0000 0.5000 1
W2 0.2500 0.2500 0.2500 1
# Electronic total energy, eV for the cell shown: -751.711
# Energy relative to the lowest polymorph listed for this composition, meV per atom: 0
# ΔH_f (0 K), kJ per mole of atoms: 9.70
# Density of states at the Fermi level, states/eV per cell: 12.71
# Calculated volume, Å³/atom: 15.450

***

# Hg3SbF, PBEsol geometry, DFT SCAN
data_Hg3SbF
_cell_length_a 4.8598
_cell_length_b 4.8598
_cell_length_c 4.8598
_cell_angle_alpha 90.00
_cell_angle_beta 90.00
_cell_angle_gamma 90.00
_space_group_name_H-M_alt 'P m -3 m'
_space_group_IT_number 221
_space_group_name_Hall '-P 4 2 3'
loop_
_atom_site_label
_atom_site_fract_x
_atom_site_fract_y
_atom_site_fract_z
_atom_site_occupancy
Hg1 0.0000 0.0000 0.5000 1
Sb1 0.5000 0.5000 0.5000 1
F1 0.0000 0.0000 0.0000 1
# Electronic total energy, eV for the cell shown: -245.484
# E_form (uncorrected), eV per formula unit: -0.186
# Density of states at the Fermi level, states/eV per cell: 3.25
# Calculated volume, Å³/atom: 22.956

***

# Tl2CdP, PBEsol geometry, DFT SCAN
data_Tl2CdP
_cell_length_a 4.0396
_cell_length_b 4.0396
_cell_length_c 21.2675
_cell_angle_alpha 90.00
_cell_angle_beta 90.00
_cell_angle_gamma 120.00
_space_group_name_H-M_alt 'R -3 m'
_space_group_IT_number 166
_space_group_name_Hall '-R 3 2"'
loop_
_atom_site_label
_atom_site_fract_x
_atom_site_fract_y
_atom_site_fract_z
_atom_site_occupancy
Tl1 0.0000 0.0000 0.2378 1
Cd1 0.0000 0.0000 0.0000 1
P1 0.0000 0.0000 0.5000 1
# Electronic total energy, eV for the cell shown: -554.614
# Energy relative to the lowest polymorph listed for this composition, meV per atom: 0
# ΔH_f (0 K), kJ per mole of atoms: 15.88
# Density of states at the Fermi level, states/eV per cell: 4.29
# Calculated volume, Å³/atom: 25.046